Material: Ce2Y2Rh3
Method: DFT, PBE-GGA
State: optimized geometry

Output
calculated formation energy: -0.7057 eV per atom
excess energy over the best structure of this formula in the dataset: 0.00 eV per formula unit

Cell lengths 8.660, 8.660, 8.660 Å; angles 90.00, 90.00, 90.00 degrees
Space group I2_13 (No. 199)
Unique sites:
Ce: 0.192 0.192 0.192
Y: 0.059 0.441 0.559
Rh: 0.000 0.250 0.862

Material: La3Si2Ir3
Method: DFT, PBE-GGA
State: optimized geometry

Output
ΔE_f (raw): -7.50 eV/f.u.

Cell lengths 7.848, 14.976, 5.913 Å; angles 90.00, 90.00, 90.00 degrees
Space group Pnma (No. 62)
Unique sites:
La: 0.023 0.108 0.142
La: 0.163 0.250 0.605
Si: 0.133 0.596 0.369
Ir: 0.158 0.040 0.605
Ir: 0.183 0.750 0.554

Material: MgNiIN2
Method: DFT, PBE-GGA
State: optimized geometry

Output
excess energy over the best structure of this formula in the dataset: 0.00 eV per formula unit
ΔE_f (raw): 5.24 eV/f.u.

Cell lengths 3.841, 3.841, 6.129 Å; angles 90.00, 90.00, 90.00 degrees
Space group P4/mmm (No. 123)
Unique sites:
Mg: 0.000 0.000 0.000
Ni: 0.500 0.500 0.500
I: 0.500 0.500 0.000
N: 0.000 0.500 0.500

Material: CsRbTlSb
Method: DFT, PBE-GGA
State: optimized geometry

Output
excess energy over the best structure of this formula in the dataset: 0.31 eV per formula unit
ΔE_f (raw): -0.96 eV/f.u.

Cell lengths 8.690, 8.690, 8.690 Å; angles 90.00, 90.00, 90.00 degrees
Space group F-43m (No. 216)
Unique sites:
Cs: 0.000 0.000 0.000
Rb: 0.250 0.250 0.750
Tl: 0.250 0.250 0.250
Sb: 0.000 0.000 0.500